Computed, not measured: a PBEsol-optimized structure of ZrP2RuS at the meta-GGA SCAN level of DFT.

Values from the calculation:
Size of the total moment (μB per formula unit): 0.00
Uncorrected formation energy (eV/atom): -0.04
Symmetry: P4/mmm
ρ (Mg/m³): 4.82
Total DFT energy (no corrections) (eV/atom): -19.2305

Unit cell a=4.2674 b=4.2674 c=5.4220 alpha=90.00 beta=90.00 gamma=90.00
Positions (direct):
Zr 0.0000 0.0000 0.5000
P 0.5000 0.0000 0.0000
P 0.0000 0.5000 0.0000
Ru 0.0000 0.0000 0.0000
S 0.5000 0.5000 0.5000